# 1
An optimized crystal structure of SnIr2Cl, computed with GGA-PBE.

Structure (POSCAR):
```
SnIr2Cl
1.0
0.0000 3.2374 3.2374
3.2374 0.0000 3.2374
3.2374 3.2374 0.0000
Cl Sn Ir
1 1 2
Cartesian
0.0000 0.0000 0.0000 Cl
3.2374 3.2374 3.2374 Sn
4.8560 4.8560 4.8560 Ir
1.6187 1.6187 1.6187 Ir
```

Results
space group: Fm-3m, No. 225
energy above the lowest structure with this stoichiometry: 0.055 eV per atom
DFT total energy: -20.9 eV per cell
M_tot: 0.0 μB per formula unit

---

# 2
An optimized crystal structure of SmErAgPt, computed with GGA-PBE.

Structure (POSCAR):
```
SmErAgPt
1.0
5.0559 0.0000 0.0000
2.5280 4.3786 0.0000
2.5280 1.4595 4.1281
Er Ag Sm Pt
1 1 1 1
Cartesian
0.0000 0.0000 0.0000 Er
2.5280 1.4595 1.0320 Ag
5.0559 2.9190 2.0641 Sm
7.5839 4.3786 3.0961 Pt
```

Results
space group: F-43m, No. 216
formation enthalpy at 0 K: -0.7546 eV per atom
DFT total energy: -21.2 eV per cell
M_tot: 0.0 μB per formula unit

---

# 3
An optimized crystal structure of Mg5Cd3In3, computed with GGA-PBE.

Structure (POSCAR):
```
Mg5Cd3In3
1.0
3.1874 0.0000 0.0000
0.0000 10.1157 0.0000
0.0000 -5.0579 8.7605
In Cd Mg
3 3 5
Cartesian
0.0000 2.1185 3.6694 In
0.0000 5.8787 0.0000 In
0.0000 -2.9393 5.0911 In
1.5937 -1.6701 2.8927 Cd
1.5937 3.3877 5.8677 Cd
1.5937 3.3402 0.0000 Cd
1.5937 -4.1829 7.2451 Mg
1.5937 0.0000 5.8403 Mg
1.5937 5.0579 2.9202 Mg
1.5937 0.8749 1.5154 Mg
1.5937 8.3659 0.0000 Mg
```

Results
space group: P-62m, No. 189
formation enthalpy at 0 K: 0.0887 eV per atom
DFT total energy: -18.0 eV per cell
M_tot: 0.0 μB per formula unit

---

# 4
An optimized crystal structure of BaY2Si2, computed with GGA-PBE.

Structure (POSCAR):
```
BaY2Si2
1.0
8.7712 0.0000 0.0000
0.0000 8.7712 0.0000
0.0000 0.0000 3.4812
Y Si Ba
4 4 2
Cartesian
5.6128 7.5439 1.7406 Y
1.2272 5.6128 1.7406 Y
3.1583 1.2272 1.7406 Y
7.5439 3.1583 1.7406 Y
1.3692 3.0164 0.0000 Si
5.7548 1.3692 0.0000 Si
7.4019 5.7548 0.0000 Si
3.0164 7.4019 0.0000 Si
0.0000 0.0000 0.0000 Ba
4.3856 4.3856 0.0000 Ba
```

Results
space group: P4/mbm, No. 127
energy above the lowest structure with this stoichiometry: 0.054 eV per atom
DFT total energy: -55.2 eV per cell
M_tot: 0.0 μB per formula unit

---

> DFT total energy of number 3 (Mg5Cd3In3)?

-18.0 eV per cell